A plane-wave DFT calculation with GGA-PBE was carried out for a relaxed Ho2BeGaIr2 crystal.

It has space group Ibam (No. 72), with a = 5.7016 Å, b = 13.5619 Å, c = 5.6852 Å, α = 90.00°, β = 90.00° and γ = 90.00°. Symmetry generates all atoms from Ho at (0.2344, 0.1712, 0.0000), Be at (0.0000, 0.5000, 0.2500), Ga at (0.0000, 0.0000, 0.2500) and Ir at (0.2167, 0.3923, 0.0000).

Its total magnetic moment is 0.0 μB/f.u. The calculation puts the energy at -151.87 eV/cell.